1.
PBE-GGA HfCo, relaxed; space group = P-6m2 (187); energy of formation = 0.044 eV/atom; V = 15.983 Å³ per atom; spin magnetization = 0.1 μB per cell
1.0
3.103 0.000 0.000
-1.551 2.687 0.000
0.000 0.000 3.834
Hf Co
1 1
Direct
0.000 0.000 0.000
0.333 0.667 0.500

---

2.
PBE-GGA PmScO3, relaxed; space group = R-3c (167); V = 12.701 Å³ per atom; spin magnetization = 0.0 μB per cell
1.0
2.844 1.642 4.532
-2.844 1.642 4.532
0.000 -3.284 4.532
Pm Sc O
2 2 6
Direct
0.250 0.250 0.250
0.750 0.750 0.750
0.000 0.000 0.000
0.500 0.500 0.500
0.150 0.750 0.350
0.250 0.650 0.850
0.350 0.150 0.750
0.650 0.850 0.250
0.750 0.350 0.150
0.850 0.250 0.650

---

3.
PBE-GGA GdDyErIn, relaxed; space group = Pmmm (47); V = 28.237 Å³ per atom; spin magnetization = 0.3 μB per cell
1.0
4.828 0.000 0.000
0.000 4.832 0.000
0.000 0.000 4.841
Gd Dy Er In
1 1 1 1
Direct
0.000 0.000 0.000
0.500 0.000 0.500
0.500 0.500 0.000
0.000 0.500 0.500

---

4.
PBE-GGA NbCuBiPd, relaxed; space group = F-43m (216); V = 18.234 Å³ per atom; spin magnetization = 0.1 μB per cell
1.0
0.000 3.316 3.316
3.316 0.000 3.316
3.316 3.316 0.000
Nb Cu Bi Pd
1 1 1 1
Direct
0.000 0.000 0.000
0.500 0.500 0.500
0.250 0.250 0.250
0.750 0.750 0.750

---

5.
PBE-GGA NdSmIBr2N, relaxed; space group = C2/m (12); V = 31.569 Å³ per atom; spin magnetization = 0.0 μB per cell
1.0
9.231 -2.035 0.000
9.231 2.035 0.000
-6.453 0.000 10.085
Nd Sm I Br N
2 2 2 4 2
Direct
0.132 0.132 0.276
0.868 0.868 0.724
0.424 0.424 0.042
0.576 0.576 0.958
0.341 0.341 0.485
0.659 0.659 0.515
0.043 0.043 0.757
0.212 0.212 0.110
0.788 0.788 0.890
0.957 0.957 0.243
0.428 0.428 0.853
0.572 0.572 0.147

---

6.
PBE-GGA CdS2, relaxed; space group = Fm-3m (225); V = 21.526 Å³ per atom
1.0
0.000 3.184 3.184
3.184 0.000 3.184
3.184 3.184 0.000
Cd S
1 2
Direct
0.000 0.000 0.000
0.250 0.250 0.250
0.750 0.750 0.750

---

no.,energy (eV/atom)
1,-8.487
2,-8.621
3,-4.408
4,-5.554
5,-5.492
6,-2.791